Here is a relaxed structure of ZrCo3P from Alexandria via LeMat-Bulk. Energies are from GGA-PBE.

Cell: 4.537 4.537 4.537 Å, 90.00 90.00 90.00°
Fractional coordinates of all 5 atoms:
Zr (0.000, 0.000, 0.000)
Co (0.000, 0.000, 0.500)
Co (0.000, 0.500, 0.000)
Co (0.500, 0.000, 0.000)
P (0.500, 0.500, 0.500)

Output
D(E_F): 1.31 states/eV per atom
SG: No. 221
total magnetic moment: 2.23 μB/f.u.
volume: 18.7 A^3/atom
calculated formation energy: 1.6640 eV/atom
E: -5.391 eV/atom
ΔE to the lowest computed polymorph: 9.16 eV per formula unit